This record from OQMD via LeMat-Bulk describes a relaxed structure of Hf3AuN5. The functional is PBE-GGA.

The calculation puts the total magnetization at 0.0 μB per formula unit. The value obtained for the calculated volume is 13.57 Å³ per atom. The total energy comes out at -0.618 Ry/atom.

a b c (Å): 5.8102 5.8102 4.1784
angles (deg): 90.00 90.00 120.00
Closest atoms and distances in Å follow each position.
Space group P6/mmm (No. 191)
Asymmetric unit:
Hf: 0.0000 0.5000 0.0000 [3 per cell]  4 N 2.17
Au: 0.0000 0.0000 0.5000 [1 per cell]  2 N 2.09
N: 0.0000 0.0000 0.0000 [1 per cell]  2 Au 2.09
N: 0.3333 0.6667 0.3311 [4 per cell]  1 N 1.41

This record from OQMD via LeMat-Bulk describes a relaxed structure of YGaTcNi. The functional is PBE-GGA.

The calculation puts the total magnetization at 0.0 μB per formula unit. The value obtained for the calculated volume is 16.39 Å³ per atom. The total energy comes out at -0.472 Ry/atom.

a b c (Å): 6.4007 6.4007 6.4007
angles (deg): 90.00 90.00 90.00
Closest atoms and distances in Å follow each position.
Space group F-43m (No. 216)
Asymmetric unit:
Y: 0.0000 0.0000 0.0000 [4 per cell]  4 Tc 2.77, 4 Ni 2.77
Ga: 0.0000 0.0000 0.5000 [4 per cell]  4 Ni 2.77, 4 Tc 2.77
Tc: 0.2500 0.2500 0.2500 [4 per cell]  4 Ga 2.77, 4 Y 2.77
Ni: 0.2500 0.2500 0.7500 [4 per cell]  4 Y 2.77, 4 Ga 2.77

This record from OQMD via LeMat-Bulk describes a relaxed structure of Ho3Fe2Co6Ni. The functional is PBE-GGA.

The calculation puts the total magnetization at 11.3 μB per formula unit. The value obtained for the calculated volume is 14.35 Å³ per atom. The total energy comes out at -0.496 Ry/atom. The formation energy comes out at -0.204 eV per atom.

a b c (Å): 4.9747 4.9747 24.0989
angles (deg): 90.00 90.00 120.00
Closest atoms and distances in Å follow each position.
Space group R-3m (No. 166, hexagonal axes)
Asymmetric unit:
Ho: 0.0000 0.0000 0.0000 [3 per cell]  6 Fe 2.87, 12 Co 3.16
Ho: 0.0000 0.0000 0.1401 [6 per cell]  9 Co 2.87-3.06, 3 Ni 2.94, 3 Ho 3.14
Fe: 0.0000 0.0000 0.3341 [6 per cell]  6 Co 2.41-2.44
Co: 0.0018 0.5009 0.9190 [18 per cell]  2 Fe 2.41-2.44, 4 Co 2.47-2.50, 1 Ni 2.52
Ni: 0.0000 0.0000 0.5000 [3 per cell]  6 Co 2.52

This record from OQMD via LeMat-Bulk describes a relaxed structure of Hf4Ta2Cu3N3. The functional is PBE-GGA.

The calculation puts the total magnetization at 0.0 μB per formula unit. The value obtained for the calculated volume is 14.40 Å³ per atom. The total energy comes out at -0.666 Ry/atom.

a b c (Å): 9.5390 5.5096 13.5467
angles (deg): 90.00 103.85 90.00
Closest atoms and distances in Å follow each position.
Space group C2/c (No. 15)
Asymmetric unit:
Hf: 0.1178 0.0797 0.1031 [8 per cell]  3 N 2.21-2.29
Hf: 0.2136 0.0866 0.3969 [8 per cell]  3 N 2.21-2.30
Ta: 0.0570 0.4161 0.9208 [8 per cell]  3 N 2.11-2.18
Cu: 0.0000 0.1438 0.7500 [4 per cell]  2 Cu 2.59, 2 Ta 2.70, 4 Hf 2.79
Cu: 0.1358 0.4482 0.2499 [8 per cell]  2 Cu 2.59, 2 Ta 2.69-2.70, 4 Hf 2.79-2.82
N: 0.0876 0.2370 0.4999 [8 per cell]  2 Ta 2.18, 4 Hf 2.21-2.29
N: 0.2500 0.2500 0.0000 [4 per cell]  2 Ta 2.11, 4 Hf 2.29-2.30